1.
VASP calculation (PBE) on crystalline TbScB4 at its relaxed geometry.

Unit cell a=3.2143 b=3.2143 c=7.4400 alpha=90.00 beta=90.00 gamma=120.00
Last column: nearest neighbours and their distance in Å.
Space group P6/mmm (No. 191)
One atom of each set of equivalent atoms:
Tb (0.0000, 0.0000, 0.0000) x1  12 B 2.72
Sc (0.0000, 0.0000, 0.5000) x1  12 B 2.54
B (0.3333, 0.6667, 0.2668) x4  3 B 1.86

Computed properties:
For the total energy, the calculation gives -0.511 Ry per atom. The calculation puts the total magnetic moment at 0.01 μB/cell.

=====

2.
VASP calculation (PBE) on crystalline ScTcB4 at its relaxed geometry.

Unit cell a=5.8530 b=11.2864 c=3.4892 alpha=90.00 beta=90.00 gamma=90.00
Last column: nearest neighbours and their distance in Å.
Space group Pbam (No. 55)
One atom of each set of equivalent atoms:
Sc (0.1298, 0.1487, 0.0000) x4  14 B 2.55-2.75
Tc (0.1375, 0.4114, 0.0000) x4  10 B 2.26-2.34
B (0.0186, 0.6956, 0.5000) x4  3 B 1.72-1.84
B (0.1157, 0.5496, 0.5000) x4  3 B 1.73-1.76
B (0.1323, 0.9694, 0.5000) x4  3 B 1.70-1.81
B (0.2054, 0.8137, 0.5000) x4  3 B 1.72-1.84

Computed properties:
The energy above the lowest structure with this stoichiometry comes out at 0 meV/atom. The calculation puts the total magnetic moment at 0.01 μB/cell.

=====

3.
VASP calculation (PBE) on crystalline ScTcB4 at its relaxed geometry.

Unit cell a=3.0753 b=5.2620 c=6.6914 alpha=90.00 beta=90.00 gamma=90.00
Last column: nearest neighbours and their distance in Å.
Space group Immm (No. 71)
One atom of each set of equivalent atoms:
Sc (0.0000, 0.0000, 0.0000) x2  12 B 2.42-2.44
Tc (0.0000, 0.0000, 0.5000) x2  12 B 2.42-2.45
B (0.0000, 0.3349, 0.2529) x8  3 B 1.74-1.78

Computed properties:
The energy above the lowest structure with this stoichiometry comes out at 30 meV/atom. The calculation puts the total magnetic moment at 0.01 μB/cell.

=====

4.
VASP calculation (PBE) on crystalline ScTcB4 at its relaxed geometry.

Unit cell a=3.0763 b=3.0763 c=6.6875 alpha=90.00 beta=90.00 gamma=120.00
Last column: nearest neighbours and their distance in Å.
Space group P6/mmm (No. 191)
One atom of each set of equivalent atoms:
Sc (0.0000, 0.0000, 0.0000) x1  12 B 2.48
Tc (0.0000, 0.0000, 0.5000) x1  12 B 2.40
B (0.3333, 0.6667, 0.2581) x4  3 B 1.78

Computed properties:
The energy above the lowest structure with this stoichiometry comes out at 104 meV/atom. The calculation puts the total magnetic moment at 0.08 μB/cell.

=====

5.
VASP calculation (PBE) on crystalline Sc2TcB6 at its relaxed geometry.

Unit cell a=8.8979 b=11.1720 c=3.5012 alpha=90.00 beta=90.00 gamma=90.00
Last column: nearest neighbours and their distance in Å.
Space group Pbam (No. 55)
One atom of each set of equivalent atoms:
Sc (0.0566, 0.1294, 0.0000) x4  12 B 2.48-2.51, 2 Tc 2.75-2.76
Sc (0.1784, 0.4137, 0.0000) x4  14 B 2.63-2.73
Tc (0.1398, 0.6800, 0.0000) x4  10 B 2.29-2.33
B (0.0210, 0.2878, 0.5000) x4  3 B 1.73-1.79
B (0.0531, 0.5651, 0.5000) x4  3 B 1.73-1.79
B (0.0977, 0.9729, 0.5000) x4  3 B 1.76-1.84
B (0.1300, 0.8179, 0.5000) x4  3 B 1.73-1.79
B (0.2049, 0.2363, 0.5000) x4  3 B 1.73-1.80
B (0.2469, 0.0784, 0.5000) x4  3 B 1.78-1.80

Computed properties:
For the total energy, the calculation gives -0.571 Ry per atom. The calculation puts the total magnetic moment at 0.02 μB/cell.

=====

6.
VASP calculation (PBE) on crystalline ThScB4 at its relaxed geometry.

Unit cell a=3.2121 b=3.2121 c=7.8274 alpha=90.00 beta=90.00 gamma=120.00
Last column: nearest neighbours and their distance in Å.
Space group P6/mmm (No. 191)
One atom of each set of equivalent atoms:
Th (0.0000, 0.0000, 0.0000) x1  12 B 2.86
Sc (0.0000, 0.0000, 0.5000) x1  12 B 2.54
B (0.3333, 0.6667, 0.2782) x4  3 B 1.85

Computed properties:
For the total energy, the calculation gives -0.542 Ry per atom. The calculation puts the total magnetic moment at 0.00 μB/cell.

=====

7.
VASP calculation (PBE) on crystalline ThScB at its relaxed geometry.

Unit cell a=6.3078 b=6.3078 c=6.3078 alpha=90.00 beta=90.00 gamma=90.00
Last column: nearest neighbours and their distance in Å.
Space group F-43m (No. 216)
One atom of each set of equivalent atoms:
Th (0.0000, 0.0000, 0.0000) x4  4 B 2.73
Sc (0.0000, 0.0000, 0.5000) x4  4 B 2.73
B (0.2500, 0.2500, 0.7500) x4  4 Th 2.73, 4 Sc 2.73

Computed properties:
The energy above the lowest structure with this stoichiometry comes out at 0 meV/atom. The calculation puts the total magnetic moment at 0.01 μB/cell.

=====

8.
VASP calculation (PBE) on crystalline ScUB at its relaxed geometry.

Unit cell a=6.0243 b=6.0243 c=6.0243 alpha=90.00 beta=90.00 gamma=90.00
Last column: nearest neighbours and their distance in Å.
Space group F-43m (No. 216)
One atom of each set of equivalent atoms:
Sc (0.0000, 0.0000, 0.0000) x4  4 B 2.61
U (0.0000, 0.0000, 0.5000) x4  4 B 2.61
B (0.2500, 0.2500, 0.2500) x4  4 U 2.61, 4 Sc 2.61

Computed properties:
The energy above the lowest structure with this stoichiometry comes out at 0 meV/atom. The calculation puts the total magnetic moment at 7.75 μB/cell.